--- w ---
Here is an optimized crystal structure of BaTaRu from Alexandria via LeMat-Bulk. Energies are from PBE-GGA.

Summary:
Calculated volume   25.4 A^3/atom

abc: 6.7290 6.7290 6.7290
angles: 90.00 90.00 90.00
Closest atoms and distances in Å follow each position.
Space group F-43m (No. 216)
Inequivalent atoms, fractional coordinates:
Ba: 0.0000 0.0000 0.0000 (multiplicity 4)  4 Ru 2.91
Ta: 0.0000 0.0000 0.5000 (multiplicity 4)  4 Ru 2.91
Ru: 0.2500 0.2500 0.2500 (multiplicity 4)  4 Ba 2.91, 4 Ta 2.91



--- x ---
Here is an optimized crystal structure of BaTaRu from Alexandria via LeMat-Bulk. Energies are from PBE-GGA.

Summary:
Calculated volume   24.0 A^3/atom

abc: 6.6045 6.6045 6.6045
angles: 90.00 90.00 90.00
Closest atoms and distances in Å follow each position.
Space group F-43m (No. 216)
Inequivalent atoms, fractional coordinates:
Ba: 0.0000 0.0000 0.0000 (multiplicity 4)  4 Ta 2.86, 4 Ru 2.86
Ta: 0.2500 0.2500 0.2500 (multiplicity 4)  4 Ba 2.86
Ru: 0.2500 0.2500 0.7500 (multiplicity 4)  4 Ba 2.86



Most stable structure, least stable structure: w, x.



--- w ---
Here is an optimized crystal structure of BC2 from Alexandria via LeMat-Bulk. Energies are from PBE-GGA.

Summary:
Calculated volume   6.6 A^3/atom

abc: 11.9517 2.5794 5.2908
angles: 90.00 104.00 90.00
Closest atoms and distances in Å follow each position.
Space group C2/m (No. 12)
Inequivalent atoms, fractional coordinates:
B: 0.0633 0.0000 0.3489 (multiplicity 4)  3 C 1.56-1.57
B: 0.1324 0.5000 0.9368 (multiplicity 4)  4 C 1.62-1.70
C: 0.0376 0.0000 0.9016 (multiplicity 4)  1 C 1.53, 3 B 1.56-1.70
C: 0.1364 0.5000 0.4396 (multiplicity 4)  2 C 1.54-1.58, 2 B 1.57
C: 0.2091 0.5000 0.7231 (multiplicity 4)  3 C 1.54-1.57, 1 B 1.62
C: 0.2137 0.5000 0.2356 (multiplicity 4)  3 C 1.57-1.58, 1 B 1.64



--- x ---
Here is an optimized crystal structure of BC2 from Alexandria via LeMat-Bulk. Energies are from PBE-GGA.

Summary:
Calculated volume   6.4 A^3/atom

abc: 2.5489 2.5489 13.5471
angles: 90.00 90.00 120.00
Closest atoms and distances in Å follow each position.
Space group P3m1 (No. 156)
Inequivalent atoms, fractional coordinates:
B: 0.0000 0.0000 0.0000 (multiplicity 1)  3 C 1.64, 1 B 1.69
B: 0.0000 0.0000 0.1248 (multiplicity 1)  4 B 1.69-1.84
B: 0.3333 0.6667 0.2068 (multiplicity 1)  1 C 1.58
B: 0.3333 0.6667 0.6777 (multiplicity 1)  4 C 1.61-1.63
C: 0.0000 0.0000 0.5152 (multiplicity 1)  4 C 1.50-1.57
C: 0.0000 0.0000 0.6260 (multiplicity 1)  1 C 1.50, 3 B 1.63
C: 0.3333 0.6667 0.3233 (multiplicity 1)  3 C 1.56, 1 B 1.58
C: 0.3333 0.6667 0.7963 (multiplicity 1)  3 C 1.57, 1 B 1.61
C: 0.6667 0.3333 0.3619 (multiplicity 1)  4 C 1.54-1.56
C: 0.6667 0.3333 0.4758 (multiplicity 1)  4 C 1.54-1.57
C: 0.6667 0.3333 0.8364 (multiplicity 1)  4 C 1.49-1.57
C: 0.6667 0.3333 0.9466 (multiplicity 1)  1 C 1.49, 3 B 1.64



Most stable structure, least stable structure: w, x.



--- w ---
Here is an optimized crystal structure of NiAgMo2 from Alexandria via LeMat-Bulk. Energies are from PBE-GGA.

Summary:
Calculated volume   15.3 A^3/atom

abc: 2.7607 2.7607 27.8157
angles: 90.00 90.00 120.00
Closest atoms and distances in Å follow each position.
Space group R3m (No. 160, hexagonal axes)
Inequivalent atoms, fractional coordinates:
Ni: 0.0000 0.0000 0.0000 (multiplicity 3)  3 Mo 2.60, 6 Ni 2.76, 3 Ag 2.77
Ag: 0.0000 0.0000 0.7480 (multiplicity 3)  6 Ag 2.76, 3 Ni 2.77, 3 Mo 2.98
Mo: 0.0000 0.0000 0.2593 (multiplicity 3)  3 Ni 2.60, 9 Mo 2.76-2.91
Mo: 0.0000 0.0000 0.5053 (multiplicity 3)  9 Mo 2.76-2.91, 3 Ag 2.98



--- x ---
Here is an optimized crystal structure of NiAgMo2 from Alexandria via LeMat-Bulk. Energies are from PBE-GGA.

Summary:
Calculated volume   15.4 A^3/atom

abc: 3.3189 4.4683 8.2964
angles: 90.00 90.00 90.00
Closest atoms and distances in Å follow each position.
Space group Imm2 (No. 44)
Inequivalent atoms, fractional coordinates:
Ni: 0.0000 0.0000 0.0000 (multiplicity 2)  6 Mo 2.58-2.80, 2 Ag 2.71
Ag: 0.0000 0.5000 0.2418 (multiplicity 2)  4 Ni 2.71-3.00, 8 Mo 2.78-2.90
Mo: 0.0000 0.0000 0.4639 (multiplicity 2)  2 Mo 2.50, 4 Ni 2.80
Mo: 0.0000 0.5000 0.7378 (multiplicity 2)  2 Mo 2.50, 2 Ni 2.58, 4 Ag 2.78



Most stable structure, least stable structure: w, x.



--- w ---
Here is an optimized crystal structure of MgP from Alexandria via LeMat-Bulk. Energies are from PBE-GGA.

Summary:
Calculated volume   20.3 A^3/atom

abc: 4.9908 6.9149 4.9528
angles: 90.00 108.37 90.00
Closest atoms and distances in Å follow each position.
Space group C2 (No. 5)
Inequivalent atoms, fractional coordinates:
Mg: 0.2200 0.0000 0.2792 (multiplicity 4)  5 P 2.56-2.70
P: 0.1969 0.3659 0.1988 (multiplicity 4)  1 P 2.30, 1 Mg 2.56



--- x ---
Here is an optimized crystal structure of MgP from Alexandria via LeMat-Bulk. Energies are from PBE-GGA.

Summary:
Calculated volume   18.8 A^3/atom

abc: 4.0886 7.4698 5.1086
angles: 90.00 104.90 90.00
Closest atoms and distances in Å follow each position.
Space group P2_1 (No. 4)
Inequivalent atoms, fractional coordinates:
Mg: 0.0622 0.0000 0.4422 (multiplicity 2)  5 P 2.60-2.76
Mg: 0.4345 0.7761 0.0584 (multiplicity 2)  5 P 2.60-2.76
P: 0.0941 0.4867 0.0964 (multiplicity 2)  1 P 2.30
P: 0.4094 0.2877 0.4038 (multiplicity 2)  1 P 2.30



Most stable structure, least stable structure: x, w.



--- w ---
Here is an optimized crystal structure of TePt2Cl from Alexandria via LeMat-Bulk. Energies are from PBE-GGA.

Summary:
Calculated volume   23.2 A^3/atom

abc: 6.8340 3.9438 7.2418
angles: 90.00 108.20 90.00
Closest atoms and distances in Å follow each position.
Space group Cm (No. 8)
Inequivalent atoms, fractional coordinates:
Te: 0.0000 0.0000 0.0000 (multiplicity 2)  3 Pt 2.59
Pt: 0.2260 0.5000 0.1787 (multiplicity 2)  3 Te 2.59, 3 Pt 2.66
Pt: 0.4584 0.0000 0.3774 (multiplicity 2)  3 Cl 2.61, 3 Pt 2.66
Cl: 0.1864 0.0000 0.5618 (multiplicity 2)  3 Pt 2.61



--- x ---
Here is an optimized crystal structure of TePt2Cl from Alexandria via LeMat-Bulk. Energies are from PBE-GGA.

Summary:
Calculated volume   19.2 A^3/atom

abc: 2.9595 4.8471 10.6904
angles: 90.00 90.00 90.00
Closest atoms and distances in Å follow each position.
Space group Immm (No. 71)
Inequivalent atoms, fractional coordinates:
Te: 0.0000 0.0000 0.0000 (multiplicity 2)  4 Cl 2.84, 4 Pt 2.90, 2 Te 2.96
Pt: 0.0000 0.5000 0.2671 (multiplicity 4)  6 Pt 2.86-2.96, 2 Te 2.90
Cl: 0.0000 0.0000 0.5000 (multiplicity 2)  4 Te 2.84, 2 Cl 2.96



Most stable structure, least stable structure: w, x.



--- w ---
Here is an optimized crystal structure of Si2TcOs from Alexandria via LeMat-Bulk. Energies are from PBE-GGA.

Summary:
Calculated volume   13.5 A^3/atom

abc: 3.1081 3.1081 5.5947
angles: 90.00 90.00 90.00
Closest atoms and distances in Å follow each position.
Space group P4mm (No. 99)
Inequivalent atoms, fractional coordinates:
Si: 0.0000 0.0000 0.0000 (multiplicity 1)  4 Os 2.46, 1 Tc 2.49, 4 Si 2.62
Si: 0.5000 0.5000 0.2555 (multiplicity 1)  4 Tc 2.44, 1 Os 2.54, 4 Si 2.62
Tc: 0.0000 0.0000 0.4444 (multiplicity 1)  5 Si 2.44-2.49
Os: 0.5000 0.5000 0.8017 (multiplicity 1)  5 Si 2.46-2.54



--- x ---
Here is an optimized crystal structure of Si2TcOs from Alexandria via LeMat-Bulk. Energies are from PBE-GGA.

Summary:
Calculated volume   13.0 A^3/atom

abc: 4.1851 4.1851 2.9661
angles: 90.00 90.00 90.00
Closest atoms and distances in Å follow each position.
Space group P4/mmm (No. 123)
Inequivalent atoms, fractional coordinates:
Si: 0.0000 0.5000 0.0000 (multiplicity 2)  4 Os 2.56, 4 Tc 2.56
Tc: 0.0000 0.0000 0.5000 (multiplicity 1)  8 Si 2.56
Os: 0.5000 0.5000 0.5000 (multiplicity 1)  8 Si 2.56



Most stable structure, least stable structure: x, w.